1.
Computed, not measured: Y5HfRh6 after structural relaxation at the PBE level of DFT.

E_tot: -8.047 eV/atom
V: 19.82 Å³ per atom

Cell: 4.7632 6.9980 8.2954 Å, 65.05 73.36 90.00°
Element x y z (fractional)
Y 0.6685 0.1683 0.6634
Y 0.3349 0.3348 0.3304
Y 0.0000 0.5000 0.0000
Y 0.6651 0.6652 0.6696
Y 0.3315 0.8317 0.3366
Rh 0.8406 0.6017 0.3185
Rh 0.8406 0.0798 0.3184
Rh 0.5000 0.7697 0.0000
Rh 0.5000 0.2303 0.0000
Rh 0.1594 0.9202 0.6816
Rh 0.1594 0.3983 0.6815
Hf 0.0000 0.0000 0.0000

***

2.
Computed, not measured: LiBiIr2 after structural relaxation at the PBE level of DFT.

E_tot: -5.548 eV/atom
V: 18.48 Å³ per atom

Cell: 4.0587 4.0587 9.4215 Å, 77.56 77.56 90.00°
Element x y z (fractional)
Ir 0.5612 0.1250 0.2500
Ir 0.1888 0.6250 0.2500
Ir 0.3750 0.4388 0.7500
Ir 0.8750 0.8112 0.7500
Bi 0.0000 0.0000 0.0000
Bi 0.7500 0.2500 0.5000
Li 0.5000 0.5000 0.0000
Li 0.2500 0.7500 0.5000

***

3.
Computed, not measured: HoTm3Hf after structural relaxation at the PBE level of DFT.

E_tot: -5.368 eV/atom
V: 29.39 Å³ per atom

Cell: 6.6578 10.9297 8.6955 Å, 146.79 86.68 109.70°
Element x y z (fractional)
Ho 0.7435 0.2284 0.1391
Ho 0.2565 0.7716 0.8609
Tm 0.2681 0.8116 0.4699
Tm 0.7516 0.7445 0.8032
Tm 0.6511 0.5726 0.2397
Tm 0.3489 0.4274 0.7603
Tm 0.7319 0.1884 0.5301
Tm 0.2484 0.2555 0.1968
Hf 0.0434 0.1859 0.8086
Hf 0.9566 0.8141 0.1914

***

4.
Computed, not measured: CrFePd5 after structural relaxation at the PBE level of DFT.

distance to the lowest polymorph of the same formula: 87 meV per atom
E_tot: -6.140 eV/atom
V: 15.72 Å³ per atom

Cell: 5.2950 5.2950 9.4775 Å, 81.40 81.40 57.18°
Element x y z (fractional)
Cr 0.0000 0.0000 0.0000
Cr 0.0000 0.0000 0.5000
Fe 0.6760 0.3240 0.2500
Fe 0.3240 0.6760 0.7500
Pd 0.6777 0.8674 0.1936
Pd 0.4080 0.3026 0.5256
Pd 0.8674 0.6777 0.6936
Pd 0.1926 0.8074 0.2500
Pd 0.6974 0.5920 0.9744
Pd 0.3026 0.4080 0.0256
Pd 0.8074 0.1926 0.7500
Pd 0.1326 0.3223 0.3064
Pd 0.5920 0.6974 0.4744
Pd 0.3223 0.1326 0.8064

***

no.,ρ (g/cm³),size of the total moment (μB/cell),calculated formation energy (meV per atom)
1,8.7,0.00,-848.9
2,13.5,0.00,330.7
3,9.6,0.00,221.1
4,9.7,14.92,153.0